This record from the Alexandria database describes crystalline ZrCoRu2 at its relaxed geometry. The functional is GGA-PBE.

The calculation puts the magnetization at 0.0 μB per cell. As for the density of states at the Fermi level: 28.542 states/eV/cell. For the energy of formation, the calculation gives 0.31 eV/atom. The value obtained for the distance to the lowest polymorph of the same formula is 42.60 kJ per mole of atoms.

a = 3.8538 Å, b = 3.8538 Å, c = 17.6221 Å
α = 90.00°, β = 90.00°, γ = 90.00°
Space group I-42d (No. 122)
Inequivalent atoms, fractional coordinates:
Zr: 0.0000 0.0000 0.0000
Co: 0.0000 0.0000 0.5000
Ru: 0.1980 0.2500 0.6250

This record from the Alexandria database describes crystalline BeTl2P at its relaxed geometry. The functional is GGA-PBE.

The calculation puts the magnetization at 0.0 μB per cell. As for the density of states at the Fermi level: 3.667 states/eV/cell. For the energy of formation, the calculation gives 0.72 eV/atom. The value obtained for the distance to the lowest polymorph of the same formula is 57.04 kJ per mole of atoms.

a = 3.9324 Å, b = 5.6623 Å, c = 7.7803 Å
α = 90.00°, β = 90.00°, γ = 90.00°
Space group Cmmm (No. 65)
Inequivalent atoms, fractional coordinates:
Be: 0.0000 0.0000 0.0000
Tl: 0.0000 0.5000 0.2373
P: 0.0000 0.0000 0.5000

> The highest energy of formation belongs to which entry?

BeTl2P